DFT (PBE) results for an optimized crystal structure of CuS4N4Cl2.

Summary:
- E: -4.92 eV/atom

a b c (Å): 18.890 6.565 6.666
angles (deg): 90.00 90.00 90.00
Space group Pnma (No. 62)
Symmetry-distinct sites (fractional):
Cu1 0.000 0.000 0.000
S1 0.128 0.044 0.386
S2 0.171 0.250 0.050
S3 0.246 0.750 0.868
N1 0.128 0.054 0.141
N2 0.211 0.052 0.452
Cl1 0.020 0.250 0.768
Cl2 0.040 0.750 0.788

---

DFT (PBE) results for an optimized crystal structure of RbNb3CuCl9.

Summary:
- E: -4.94 eV/atom

a b c (Å): 9.296 9.324 9.332
angles (deg): 119.72 95.49 105.74
Space group P-1 (No. 2)
Symmetry-distinct sites (fractional):
Rb1 0.164 0.025 0.238
Nb1 0.358 0.480 0.800
Nb2 0.360 0.246 0.924
Nb3 0.364 0.605 0.158
Cu1 0.128 0.686 0.554
Cl1 0.168 0.175 0.672
Cl2 0.171 0.446 0.539
Cl3 0.173 0.923 0.829
Cl4 0.174 0.323 0.097
Cl5 0.174 0.598 0.949
Cl6 0.192 0.741 0.353
Cl7 0.493 0.353 0.578
Cl8 0.494 0.078 0.727
Cl9 0.499 0.775 0.853

---

DFT (PBE) results for an optimized crystal structure of Y2CuNiCl2.

Summary:
- E: -5.49 eV/atom

a b c (Å): 3.9886 3.9886 11.0971
angles (deg): 90.00 90.00 120.00
Space group P3m1 (No. 156)
Symmetry-distinct sites (fractional):
Y1 0.0000 0.0000 0.0000
Y2 0.0000 0.0000 0.3363
Cu1 0.6667 0.3333 0.1630
Ni1 0.3333 0.6667 0.1742
Cl1 0.3333 0.6667 0.8475
Cl2 0.6667 0.3333 0.4888